The following is a PBE with a Hubbard U calculation of a relaxed AlNi3Se2ClO8 crystal, from the Alexandria database.

Cell lengths 5.5872, 9.5892, 8.0008 Å; angles 90.00, 90.00, 90.00 degrees
Last column: nearest neighbours and their distance in Å.
Fractional coordinates of all 30 atoms:
Al1 0.2500 0.2500 0.1545  6 O 1.88-2.06
Al2 0.7500 0.7500 0.8455  6 O 1.88-2.06
Ni1 0.0000 0.0000 0.0000  4 O 1.87-2.08
Ni2 0.0000 0.5000 0.0000  4 O 1.87-2.08
Ni3 0.2500 0.2500 0.7743  4 O 1.97-2.03
Ni4 0.5000 0.0000 0.0000  4 O 1.87-2.08
Ni5 0.5000 0.5000 0.0000  4 O 1.87-2.08
Ni6 0.7500 0.7500 0.2257  4 O 1.97-2.03
Se1 0.2500 0.5816 0.6347  3 O 1.69-1.78
Se2 0.2500 0.9184 0.6347  3 O 1.69-1.78
Se3 0.7500 0.0816 0.3653  3 O 1.69-1.78
Se4 0.7500 0.4184 0.3653  3 O 1.69-1.78
Cl1 0.2500 0.7500 0.1572  6 Ni 2.85-3.05
Cl2 0.7500 0.2500 0.8428  6 Ni 2.85-3.05
O1 0.0049 0.6064 0.7731  1 Se 1.78
O2 0.0049 0.8936 0.7731  1 Se 1.78
O3 0.2500 0.0931 0.6040  1 Se 1.69
O4 0.2500 0.1272 0.9713  3 Ni 1.87-1.97, 1 Al 1.88
O5 0.2500 0.3728 0.9713  3 Ni 1.87-1.97, 1 Al 1.88
O6 0.2500 0.4069 0.6040  1 Se 1.69
O7 0.4951 0.6064 0.7731  1 Se 1.78
O8 0.4951 0.8936 0.7731  1 Se 1.78
O9 0.5049 0.1064 0.2269  1 Se 1.78
O10 0.5049 0.3936 0.2269  1 Se 1.78
O11 0.7500 0.5931 0.3960  1 Se 1.69
O12 0.7500 0.6272 0.0287  3 Ni 1.87-1.97, 1 Al 1.88
O13 0.7500 0.8728 0.0287  3 Ni 1.87-1.97, 1 Al 1.88
O14 0.7500 0.9069 0.3960  1 Se 1.69
O15 0.9951 0.1064 0.2269  1 Se 1.78
O16 0.9951 0.3936 0.2269  1 Se 1.78

**Final energy**: -5.115 eV per atom
**Space group**: Pmmn (59)
**M_tot**: 0.40 μB/atom